[1]
Here is a relaxed structure of Y2ZrTe from the Alexandria database. Energies are from PBEsol.

Cell: 3.797 3.797 7.152 Å, 90.00 90.00 90.00°
Positions (direct):
Y 0.000 0.000 0.238
Y 0.000 0.000 0.762
Zr 0.500 0.500 0.500
Te 0.500 0.500 0.000

Results
**Symmetry**: P4/mmm
**E_tot**: -7.091 eV per atom
**Formation energy without anion corrections**: -526 meV per atom

[2]
Here is a relaxed structure of Ba3WCl from the Alexandria database. Energies are from PBEsol.

Cell: 5.884 5.884 5.884 Å, 90.00 90.00 90.00°
Positions (direct):
Ba 0.000 0.000 0.500
Ba 0.000 0.500 0.000
Ba 0.500 0.000 0.000
W 0.000 0.000 0.000
Cl 0.500 0.500 0.500

Results
**Symmetry**: Pm-3m
**E_tot**: -4.053 eV per atom
**Formation energy without anion corrections**: 399 meV per atom

[3]
Here is a relaxed structure of Na4Al3Si3CNO13 from the Alexandria database. Energies are from PBEsol.

Cell: 8.896 8.896 9.198 Å, 90.00 90.00 90.07°
Positions (direct):
Na 0.185 0.685 0.000
Na 0.191 0.310 0.402
Na 0.310 0.191 0.902
Na 0.315 0.815 0.500
Na 0.685 0.185 0.500
Na 0.690 0.809 0.902
Na 0.809 0.690 0.402
Na 0.815 0.315 0.000
Al 0.000 0.000 0.447
Al 0.000 0.000 0.947
Al 0.252 0.501 0.698
Al 0.499 0.748 0.198
Al 0.501 0.252 0.198
Al 0.748 0.499 0.698
Si 0.001 0.752 0.698
Si 0.248 0.999 0.198
Si 0.500 0.500 0.448
Si 0.500 0.500 0.948
Si 0.752 0.001 0.198
Si 0.999 0.248 0.698
C 0.000 0.500 0.208
C 0.500 0.000 0.708
N 0.000 0.500 0.078
N 0.500 0.000 0.578
O 0.000 0.500 0.341
O 0.057 0.851 0.558
O 0.059 0.148 0.836
O 0.142 0.349 0.644
O 0.146 0.657 0.753
O 0.148 0.059 0.336
O 0.149 0.943 0.058
O 0.343 0.854 0.253
O 0.349 0.142 0.144
O 0.359 0.557 0.548
O 0.360 0.442 0.848
O 0.442 0.360 0.348
O 0.443 0.641 0.048
O 0.500 0.000 0.841
O 0.557 0.359 0.048
O 0.558 0.640 0.348
O 0.640 0.558 0.848
O 0.641 0.443 0.548
O 0.651 0.858 0.144
O 0.657 0.146 0.253
O 0.851 0.057 0.058
O 0.852 0.941 0.336
O 0.854 0.343 0.753
O 0.858 0.651 0.644
O 0.941 0.852 0.836
O 0.943 0.149 0.558

Results
**Symmetry**: Ccc2
**E_tot**: -7.324 eV per atom
**Formation energy without anion corrections**: -2463 meV per atom